1.
Compound: Ca3PuNi8
Source: the Alexandria database
Functional: PBE-GGA
Structure: optimized geometry

It has space group R3m (No. 160, hexagonal axes), with a = 5.0848 Å, b = 5.0848 Å, c = 24.8348 Å, α = 90.00°, β = 90.00° and γ = 120.00°. Symmetry generates all atoms from Ca at (0.0000, 0.0000, 0.0000), Ca at (0.0000, 0.0000, 0.1241), Ca at (0.0000, 0.0000, 0.4964), Pu at (0.0000, 0.0000, 0.6224), Ni at (0.0000, 0.0000, 0.3107), Ni at (0.0000, 0.0000, 0.8104), Ni at (0.0025, 0.5012, 0.5622) and Ni at (0.1685, 0.3370, 0.3927).

For the total magnetization, the calculation gives 4.05 μB/f.u. The value obtained for the density is 7469 kg/m3. The formation enthalpy at 0 K is -182 meV/atom. Its total energy is -5.7310 eV per atom.

2.
Compound: CaPuNi2
Source: the Alexandria database
Functional: PBE-GGA
Structure: optimized geometry

It has space group P4/mmm (No. 123), with a = 3.373 Å, b = 3.373 Å, c = 6.920 Å, α = 90.00°, β = 90.00° and γ = 90.00°. Symmetry generates all atoms from Ca at (0.000, 0.000, 0.000), Pu at (0.000, 0.000, 0.500) and Ni at (0.500, 0.500, 0.288).

For the total magnetization, the calculation gives 5.18 μB/f.u. The value obtained for the density is 8465 kg/m3. For the excess energy over the best structure of this formula in the dataset, the calculation gives 0 meV per atom. The formation enthalpy at 0 K is -42 meV/atom. Its total energy is -7.0158 eV per atom.

3.
Compound: CaPuNi2
Source: the Alexandria database
Functional: PBE-GGA
Structure: optimized geometry

It has space group Fm-3m (No. 225), with a = 6.760 Å, b = 6.760 Å, c = 6.760 Å, α = 90.00°, β = 90.00° and γ = 90.00°. Symmetry generates all atoms from Ca at (0.000, 0.000, 0.000), Pu at (0.000, 0.000, 0.500) and Ni at (0.250, 0.250, 0.250).

For the total magnetization, the calculation gives 5.26 μB/f.u. The value obtained for the density is 8632 kg/m3. For the excess energy over the best structure of this formula in the dataset, the calculation gives 83 meV per atom. The formation enthalpy at 0 K is 42 meV/atom. Its total energy is -6.9324 eV per atom.

4.
Compound: CaPuNi10
Source: the Alexandria database
Functional: PBE-GGA
Structure: optimized geometry

It has space group Pmmm (No. 47), with a = 3.954 Å, b = 4.904 Å, c = 8.485 Å, α = 90.00°, β = 90.00° and γ = 90.00°. Symmetry generates all atoms from Ca at (0.000, 0.000, 0.000), Pu at (0.000, 0.500, 0.500), Ni at (0.000, 0.000, 0.336), Ni at (0.000, 0.500, 0.171), Ni at (0.500, 0.000, 0.500), Ni at (0.500, 0.253, 0.254) and Ni at (0.500, 0.500, 0.000).

For the total magnetization, the calculation gives 0.97 μB/f.u. The value obtained for the density is 8791 kg/m3. The formation enthalpy at 0 K is -154 meV/atom. Its total energy is -6.3324 eV per atom.